# 1
A relaxed CsGeW crystal, computed with PBE.

The volume comes out at 31.6 Å³ per atom. The total energy is -4.19 eV/atom. The theoretical density comes out at 6.81 g cm⁻³. Its magnetic moment is 3.000 Bohr magnetons per cell.

Cell and atoms, written as POSCAR:
```
CsGeW
1.0
0.0000 3.6201 3.6201
3.6201 0.0000 3.6201
3.6201 3.6201 0.0000
W Cs Ge
1 1 1
direct
0.7500 0.7500 0.7500
0.2500 0.2500 0.2500
0.0000 0.0000 0.0000
```

# 2
A relaxed CsGeW crystal, computed with PBE.

The volume comes out at 25.5 Å³ per atom. The total energy is -4.33 eV/atom. The theoretical density comes out at 8.46 g cm⁻³. Its magnetic moment is 0.993 Bohr magnetons per cell.

Cell and atoms, written as POSCAR:
```
CsGeW
1.0
0.0000 3.3684 3.3684
3.3684 0.0000 3.3684
3.3684 3.3684 0.0000
Ge W Cs
1 1 1
direct
0.7500 0.7500 0.7500
0.0000 0.0000 0.0000
0.2500 0.2500 0.2500
```

# 3
A relaxed CsGeW crystal, computed with PBE.

The volume comes out at 35.5 Å³ per atom. The total energy is -3.46 eV/atom. The theoretical density comes out at 6.08 g cm⁻³. Its magnetic moment is 3.143 Bohr magnetons per cell.

Cell and atoms, written as POSCAR:
```
CsGeW
1.0
-4.4879 2.8077 0.5196
-1.5406 3.2945 -3.8816
-4.2446 -1.1955 -2.9747
Ge W Cs
1 1 1
direct
0.2500 0.2500 0.2500
0.7500 0.7500 0.7500
0.0000 0.0000 0.0000
```